Pm6Ga2TeSe3 | PBE-GGA | relaxed

Calculated values
- Spin magnetization: 0.0 μB per formula unit
- Total energy: -5.361 eV/atom
- Raw formation energy: -1348 meV/atom

Lattice parameters (Å, degrees): 18.745 4.160 8.801 90.00 103.98 90.00
Space group C2/m (No. 12)
One atom of each set of equivalent atoms:
1 Pm 0.005 0.000 0.266 [4 per cell]
2 Pm 0.166 0.500 0.588 [4 per cell]
3 Pm 0.171 0.500 0.091 [4 per cell]
4 Ga 0.169 0.000 0.338 [4 per cell]
5 Te 0.000 0.500 0.000 [2 per cell]
6 Se 0.000 0.500 0.500 [2 per cell]
7 Se 0.163 0.000 0.836 [4 per cell]

Ta2SnBiCl | PBE-GGA | relaxed

Calculated values
- Spin magnetization: 2.6 μB per formula unit
- Excess energy over the best structure of this formula in the dataset: 0.00 eV per formula unit
- Total energy: -4.881 eV/atom
- Raw formation energy: 1806 meV/atom

Lattice parameters (Å, degrees): 5.251 5.251 5.744 90.00 90.00 90.00
Space group P4/mmm (No. 123)
One atom of each set of equivalent atoms:
1 Ta 0.000 0.500 0.000 [2 per cell]
2 Sn 0.000 0.000 0.000 [1 per cell]
3 Bi 0.000 0.000 0.500 [1 per cell]
4 Cl 0.500 0.500 0.500 [1 per cell]